Record 1
Here is Co2CuCl after structural relaxation from Alexandria via LeMat-Bulk. Energies are from PBE-GGA.

Results
Raw total energy, eV/atom: -4.7317
Theoretical density, g/cm3: 6.150
ΔE to the lowest computed polymorph, meV/atom: 99.1
Volume, Å³/cell: 59
Formation energy from raw total energies, kJ/mol of formula units: 118.5

a = 2.9897 Å, b = 3.1733 Å, c = 6.1722 Å
α = 89.92°, β = 90.00°, γ = 90.00°
Closest atoms and distances in Å follow each position.
Element x y z (fractional)
Cu 0.5000 0.2500 0.2500  8 Co 2.48
Cl 0.5000 0.7500 0.7500  4 Co 2.42
Co 0.0000 0.7504 0.0592  1 Co 2.36, 2 Cl 2.42, 4 Cu 2.48
Co 0.0000 0.7496 0.4408  1 Co 2.36, 2 Cl 2.42, 4 Cu 2.48

---

Record 2
Here is ZnIBr3 after structural relaxation from Alexandria via LeMat-Bulk. Energies are from PBE-GGA.

Results
Raw total energy, eV/atom: -1.3291
Theoretical density, g/cm3: 3.743
ΔE to the lowest computed polymorph, meV/atom: 349.8
Volume, Å³/cell: 192
Formation energy from raw total energies, kJ/mol of formula units: 115.5

a = 5.7655 Å, b = 5.7655 Å, c = 5.7655 Å
α = 90.00°, β = 90.00°, γ = 90.00°
Closest atoms and distances in Å follow each position.
Element x y z (fractional)
I 0.0000 0.0000 0.0000  6 Br 2.88
Zn 0.5000 0.5000 0.5000  12 Br 4.08
Br 0.0000 0.5000 0.0000  2 I 2.88
Br 0.0000 0.0000 0.5000  2 I 2.88
Br 0.5000 0.0000 0.0000  2 I 2.88

---

Record 3
Here is CuSi2Ru2 after structural relaxation from Alexandria via LeMat-Bulk. Energies are from PBE-GGA.

Results
Raw total energy, eV/atom: -7.0619
Theoretical density, g/cm3: 7.879
ΔE to the lowest computed polymorph, meV/atom: 41.3
Volume, Å³/cell: 136
Formation energy from raw total energies, kJ/mol of formula units: -175.2

a = 6.8534 Å, b = 6.8534 Å, c = 2.8883 Å
α = 90.00°, β = 90.00°, γ = 90.00°
Closest atoms and distances in Å follow each position.
Element x y z (fractional)
Cu 0.5000 0.5000 0.0000  4 Ru 2.62, 2 Cu 2.89
Si 0.3510 0.1490 0.5000  6 Ru 2.44-2.49
Si 0.6490 0.8510 0.5000  6 Ru 2.44-2.49
Ru 0.8522 0.6478 0.0000  6 Si 2.44-2.49, 2 Cu 2.62
Ru 0.1478 0.3522 0.0000  6 Si 2.44-2.49, 2 Cu 2.62
Si 0.1490 0.6490 0.5000  6 Ru 2.44-2.49
Si 0.8510 0.3510 0.5000  6 Ru 2.44-2.49
Ru 0.3522 0.8522 0.0000  6 Si 2.44-2.49, 2 Cu 2.62
Ru 0.6478 0.1478 0.0000  6 Si 2.44-2.49, 2 Cu 2.62
Cu 0.0000 0.0000 0.0000  4 Ru 2.62, 2 Cu 2.89

---

Record 4
Here is Dy6MgIn5 after structural relaxation from Alexandria via LeMat-Bulk. Energies are from PBE-GGA.

Results
Raw total energy, eV/atom: -3.9997
Theoretical density, g/cm3: 8.211
Formation energy, kJ/mol of formula units: -491.8
Volume, Å³/cell: 318

a = 5.3280 Å, b = 7.4503 Å, c = 8.4466 Å
α = 90.00°, β = 71.62°, γ = 90.00°
Closest atoms and distances in Å follow each position.
Element x y z (fractional)
Dy 0.8316 0.7513 0.3369  7 In 3.24-3.31, 1 Mg 3.27
Dy 0.8316 0.2487 0.3369  7 In 3.24-3.31, 1 Mg 3.27
Dy 0.5000 0.7459 0.0000  6 In 3.19-3.24, 2 Mg 3.27
In 0.6665 0.5000 0.6669  8 Dy 3.24-3.26
In 0.3335 0.5000 0.3331  8 Dy 3.24-3.26
Mg 0.0000 0.0000 0.0000  8 Dy 3.27
Dy 0.1684 0.2487 0.6631  7 In 3.24-3.31, 1 Mg 3.27
Dy 0.5000 0.2541 0.0000  6 In 3.19-3.24, 2 Mg 3.27
In 0.6601 0.0000 0.6797  8 Dy 3.19-3.31
In 0.3399 0.0000 0.3203  8 Dy 3.19-3.31
Dy 0.1684 0.7513 0.6631  7 In 3.24-3.31, 1 Mg 3.27
In 0.0000 0.5000 0.0000  8 Dy 3.23-3.29

---

Record 5
Here is Pr2Mg6Sc after structural relaxation from Alexandria via LeMat-Bulk. Energies are from PBE-GGA.

Results
Raw total energy, eV/atom: -2.8934
Theoretical density, g/cm3: 3.314
Formation energy, kJ/mol of formula units: -56.2
Volume, Å³/cell: 237

a = 3.2878 Å, b = 9.1195 Å, c = 9.1195 Å
α = 59.99°, β = 90.00°, γ = 90.00°
Closest atoms and distances in Å follow each position.
Element x y z (fractional)
Mg 0.5000 0.6760 0.3240  5 Mg 2.95-3.29
Mg 0.5000 0.3240 0.6760  5 Mg 2.95-3.29
Mg 0.4988 0.6761 0.0000  5 Mg 2.95-3.29
Pr 0.0000 0.3333 0.3333  2 Pr 3.29, 12 Mg 3.49-3.50
Mg 0.5012 0.0000 0.3239  5 Mg 2.95-3.29
Mg 0.5012 0.3239 0.0000  5 Mg 2.95-3.29
Sc 0.0000 0.0000 0.0000  2 Sc 3.29, 12 Mg 3.38
Pr 0.0000 0.6667 0.6667  2 Pr 3.29, 12 Mg 3.49-3.50
Mg 0.4988 0.0000 0.6761  5 Mg 2.95-3.29

---

Record 6
Here is RbLaV3 after structural relaxation from Alexandria via LeMat-Bulk. Energies are from PBE-GGA.

Results
Raw total energy, eV/atom: -4.4979
Theoretical density, g/cm3: 5.085
Formation energy, kJ/mol of formula units: 1038.3
Volume, Å³/cell: 123

a = 4.9755 Å, b = 4.9755 Å, c = 4.9755 Å
α = 90.00°, β = 90.00°, γ = 90.00°
Closest atoms and distances in Å follow each position.
Element x y z (fractional)
V 0.0000 0.5000 0.0000  2 Rb 2.49
V 0.0000 0.0000 0.5000  2 Rb 2.49
Rb 0.0000 0.0000 0.0000  6 V 2.49
V 0.5000 0.0000 0.0000  2 Rb 2.49
La 0.5000 0.5000 0.5000  12 V 3.52

---

Record 7
Here is KOs5 after structural relaxation from Alexandria via LeMat-Bulk. Energies are from PBE-GGA.

Results
Raw total energy, eV/atom: -8.8604
Theoretical density, g/cm3: 15.022
ΔE to the lowest computed polymorph, meV/atom: 0.0
Formation energy, kJ/mol of formula units: 394.0
Volume, Å³/cell: 109

a = 6.2032 Å, b = 6.2032 Å, c = 6.6978 Å
α = 97.01°, β = 97.01°, γ = 25.35°
Closest atoms and distances in Å follow each position.
Element x y z (fractional)
Os 0.0099 0.0099 0.4807  8 Os 2.61-2.72
Os 0.6458 0.6458 0.2853  9 Os 2.58-2.72
Os 0.2213 0.2213 0.0050  6 Os 2.58-2.72
K 0.9540 0.9540 0.9409  2 K 2.72
Os 0.3167 0.3167 0.4471  8 Os 2.60-2.72
Os 0.6856 0.6856 0.6743  9 Os 2.59-2.72

---

Record 8
Here is Ho2Th3Te8 after structural relaxation from Alexandria via LeMat-Bulk. Energies are from PBE-GGA.

Results
Raw total energy, eV/atom: -5.4919
Theoretical density, g/cm3: 6.962
Volume, Å³/cell: 488
Formation energy from raw total energies, kJ/mol of formula units: -1432.4

a = 7.4024 Å, b = 8.7667 Å, c = 8.9946 Å
α = 119.17°, β = 104.53°, γ = 90.00°
Closest atoms and distances in Å follow each position.
Element x y z (fractional)
Th 0.0000 0.7519 0.0000  6 Te 3.10-3.19
Te 0.4182 0.3803 0.2541  2 Ho 3.09-3.18, 2 Th 3.16-3.17
Th 0.5000 0.0000 0.0000  6 Te 3.16
Te 0.9133 0.1315 0.2630  1 Ho 3.07, 3 Th 3.16-3.19
Te 0.1161 0.3877 0.7754  1 Ho 3.07, 2 Th 3.10
Te 0.5818 0.6197 0.7459  2 Ho 3.09-3.18, 2 Th 3.16-3.17
Te 0.8839 0.6123 0.2246  1 Ho 3.07, 2 Th 3.10
Te 0.0867 0.8685 0.7370  1 Ho 3.07, 3 Th 3.16-3.19
Te 0.4182 0.8738 0.2541  2 Ho 3.09-3.18, 2 Th 3.16-3.17
Te 0.5818 0.1262 0.7459  2 Ho 3.09-3.18, 2 Th 3.16-3.17
Ho 0.6738 0.7547 0.5094  6 Te 3.07-3.18
Ho 0.3262 0.2453 0.4906  6 Te 3.07-3.18
Th 0.0000 0.2481 0.0000  6 Te 3.10-3.19

---

What is the formula in the third record? CuSi2Ru2

---

theoretical density of number 3 (CuSi2Ru2)? 7.879 g/cm3